No. 1
Density functional theory data (PBE) for a relaxed Sr2Li3PtAu12 crystal.

Summary:
E_form ... -282.7 meV per atom
Crystal system ... trigonal

Lattice parameters (Å, degrees): 6.8947 6.8947 28.6891 90.00 90.00 120.00
Space group R-3m (No. 166, hexagonal axes)
Unique sites:
Sr (0.0000, 0.0000, 0.1470) x6
Li (0.0000, 0.5000, 0.0000) x9
Pt (0.0000, 0.0000, 0.5000) x3
Au (0.0356, 0.5178, 0.0974) x18
Au (0.0598, 0.5299, 0.6230) x18

=====

No. 2
Density functional theory data (PBE) for a relaxed Y2HoSc crystal.

Summary:
E_form ... 133.0 meV per atom
Crystal system ... cubic

Lattice parameters (Å, degrees): 7.854 7.854 7.854 90.00 90.00 90.00
Space group Fm-3m (No. 225)
Unique sites:
Y (0.250, 0.250, 0.250) x8
Ho (0.000, 0.000, 0.000) x4
Sc (0.000, 0.000, 0.500) x4

=====

No. 3
Density functional theory data (PBE) for a relaxed CdAg2Pb2 crystal.

Summary:
E_form ... 162.1 meV per atom
Crystal system ... tetragonal

Lattice parameters (Å, degrees): 8.707 8.707 3.405 90.00 90.00 90.00
Space group P4/mbm (No. 127)
Unique sites:
Cd (0.000, 0.000, 0.000) x2
Ag (0.119, 0.381, 0.500) x4
Pb (0.177, 0.677, 0.000) x4

=====

No. 4
Density functional theory data (PBE) for a relaxed ZrPt crystal.

Summary:
E_form ... 40.1 meV per atom
Crystal system ... cubic

Lattice parameters (Å, degrees): 8.318 8.318 8.318 90.00 90.00 90.00
Space group I-43m (No. 217)
Unique sites:
Zr (0.146, 0.146, 0.146) x8
Pt (0.168, 0.168, 0.832) x8

=====

No. 5
Density functional theory data (PBE) for a relaxed CsNaErBr5 crystal.

Summary:
Crystal system ... monoclinic
ΔE_f (raw) ... -1.7803 eV per atom

Lattice parameters (Å, degrees): 9.527 13.628 10.829 90.00 110.53 90.00
Space group C2/c (No. 15)
Unique sites:
Cs (0.000, 0.164, 0.250) x4
Na (0.000, 0.187, 0.750) x4
Er (0.000, 0.500, 0.000) x4
Br (0.000, 0.441, 0.250) x4
Br (0.092, 0.310, 0.580) x8
Br (0.202, 0.055, 0.935) x8

=====

No. 6
Density functional theory data (PBE) for a relaxed AlCoRe2H crystal.

Summary:
Crystal system ... tetragonal
DFT total energy ... -7.571 eV/atom

Lattice parameters (Å, degrees): 3.780 3.780 4.045 90.00 90.00 90.00
Space group P4/mmm (No. 123)
Unique sites:
Al (0.000, 0.000, 0.000) x1
Co (0.500, 0.500, 0.000) x1
Re (0.000, 0.500, 0.500) x2
H (0.000, 0.000, 0.500) x1

=====

No. 7
Density functional theory data (PBE) for a relaxed NiAsSe2 crystal.

Summary:
Crystal system ... orthorhombic
ΔE_f (raw) ... 0.4909 eV per atom

Lattice parameters (Å, degrees): 3.119 4.553 4.890 90.00 90.00 90.00
Space group Pmmm (No. 47)
Unique sites:
Ni (0.000, 0.000, 0.000) x1
As (0.500, 0.000, 0.500) x1
Se (0.000, 0.500, 0.500) x1
Se (0.500, 0.500, 0.000) x1

=====

No. 8
Density functional theory data (PBE) for a relaxed Ti9H2Pb3 crystal.

Summary:
Crystal system ... trigonal
DFT total energy ... -6.507 eV/atom

Lattice parameters (Å, degrees): 5.9503 5.9503 7.2903 90.00 90.00 120.00
Space group P-3m1 (No. 164)
Unique sites:
Ti (0.0000, 0.5000, 0.0000) x3
Ti (0.1664, 0.3327, 0.6658) x6
H (0.3333, 0.6667, 0.8339) x2
Pb (0.0000, 0.0000, 0.0000) x1
Pb (0.3333, 0.6667, 0.3324) x2

=====

No. 9
Density functional theory data (PBE) for a relaxed La2HoPb9 crystal.

Summary:
E_form ... -386.2 meV per atom
Crystal system ... tetragonal

Lattice parameters (Å, degrees): 4.945 4.945 14.725 90.00 90.00 90.00
Space group P4/mmm (No. 123)
Unique sites:
La (0.000, 0.000, 0.168) x2
Ho (0.000, 0.000, 0.500) x1
Pb (0.000, 0.500, 0.000) x2
Pb (0.000, 0.500, 0.339) x4
Pb (0.500, 0.500, 0.169) x2
Pb (0.500, 0.500, 0.500) x1

=====

No. 10
Density functional theory data (PBE) for a relaxed MnGaGeSe2 crystal.

Summary:
Crystal system ... triclinic
ΔE_f (raw) ... -0.2588 eV per atom

Lattice parameters (Å, degrees): 3.620 3.620 10.092 89.76 89.85 60.01
Space group P1 (No. 1)
Unique sites:
Mn (0.000, 0.000, 0.000) x1
Ga (0.335, 0.338, 0.603) x1
Ge (0.334, 0.335, 0.848) x1
Se (0.001, 0.006, 0.478) x1
Se (0.666, 0.665, 0.130) x1

=====

No. 11
Density functional theory data (PBE) for a relaxed RbHfTlBi2 crystal.

Summary:
E_form ... -66.4 meV per atom
Crystal system ... tetragonal

Lattice parameters (Å, degrees): 5.729 5.729 5.799 90.00 90.00 90.00
Space group P4/mmm (No. 123)
Unique sites:
Rb (0.000, 0.000, 0.000) x1
Hf (0.500, 0.500, 0.500) x1
Tl (0.500, 0.500, 0.000) x1
Bi (0.000, 0.500, 0.500) x2

=====

No. 12
Density functional theory data (PBE) for a relaxed SmGaCuNi3 crystal.

Summary:
E_form ... -149.5 meV per atom
Crystal system ... orthorhombic

Lattice parameters (Å, degrees): 5.293 12.317 5.670 90.00 90.00 90.00
Space group Cmcm (No. 63)
Unique sites:
Sm (0.000, 0.187, 0.250) x4
Ga (0.000, 0.133, 0.750) x4
Cu (0.000, 0.399, 0.250) x4
Ni (0.000, 0.360, 0.750) x4
Ni (0.236, 0.000, 0.000) x8

=====

No. 13
Density functional theory data (PBE) for a relaxed TmAlSiPt3 crystal.

Summary:
Crystal system ... orthorhombic
ΔE_f (raw) ... -0.8620 eV per atom

Lattice parameters (Å, degrees): 6.882 11.711 5.497 90.00 90.00 90.00
Space group Cmcm (No. 63)
Unique sites:
Tm (0.000, 0.198, 0.250) x4
Al (0.000, 0.454, 0.250) x4
Si (0.000, 0.125, 0.750) x4
Pt (0.000, 0.322, 0.750) x4
Pt (0.207, 0.000, 0.000) x8

=====

No. 14
Density functional theory data (PBE) for a relaxed Tb3Y4Mg crystal.

Summary:
E_form ... 216.8 meV per atom
Crystal system ... monoclinic

Lattice parameters (Å, degrees): 25.783 3.420 5.838 90.00 96.14 90.00
Space group C2/m (No. 12)
Unique sites:
Tb (0.000, 0.000, 0.000) x2
Tb (0.150, 0.000, 0.211) x4
Y (0.101, 0.000, 0.688) x4
Y (0.218, 0.500, 0.736) x4
Mg (0.000, 0.500, 0.500) x2

=====

No. 15
Density functional theory data (PBE) for a relaxed LaScTl2Se4 crystal.

Summary:
Crystal system ... monoclinic
ΔE_f (raw) ... -1.3296 eV per atom

Lattice parameters (Å, degrees): 7.293 4.207 8.081 90.00 107.33 90.00
Space group P2/m (No. 10)
Unique sites:
La (0.000, 0.000, 0.000) x1
Sc (0.500, 0.500, 0.000) x1
Tl (0.000, 0.500, 0.500) x1
Tl (0.500, 0.000, 0.500) x1
Se (0.259, 0.500, 0.207) x2
Se (0.287, 0.000, 0.802) x2

=====

No. 16
Density functional theory data (PBE) for a relaxed EuSnBiSb crystal.

Summary:
Crystal system ... cubic
ΔE_f (raw) ... -0.3089 eV per atom

Lattice parameters (Å, degrees): 7.883 7.883 7.883 90.00 90.00 90.00
Space group F-43m (No. 216)
Unique sites:
Eu (0.000, 0.000, 0.000) x4
Sn (0.000, 0.000, 0.500) x4
Bi (0.250, 0.250, 0.750) x4
Sb (0.250, 0.250, 0.250) x4

=====

No. 17
Density functional theory data (PBE) for a relaxed HfCu4Ir2 crystal.

Summary:
E_form ... 1202.4 meV per atom
Crystal system ... tetragonal

Lattice parameters (Å, degrees): 4.516 4.516 12.716 90.00 90.00 90.00
Space group I4/mmm (No. 139)
Unique sites:
Hf (0.000, 0.000, 0.000) x2
Cu (0.000, 0.000, 0.202) x4
Cu (0.000, 0.500, 0.000) x4
Ir (0.000, 0.000, 0.394) x4

=====

No. 18
Density functional theory data (PBE) for a relaxed BeBiHPb crystal.

Summary:
Crystal system ... triclinic
DFT total energy ... -3.345 eV/atom

Lattice parameters (Å, degrees): 3.425 3.425 8.817 79.13 78.88 70.62
Space group P1 (No. 1)
Unique sites:
Be (0.000, 0.000, 0.000) x1
Bi (0.317, 0.320, 0.186) x1
H (0.057, 0.051, 0.837) x1
Pb (0.153, 0.155, 0.580) x1

=====

No. 19
Density functional theory data (PBE) for a relaxed Be3ZnAu crystal.

Summary:
E_form ... 582.2 meV per atom
Crystal system ... cubic

Lattice parameters (Å, degrees): 4.359 4.359 4.359 90.00 90.00 90.00
Space group Pm-3m (No. 221)
Unique sites:
Be (0.000, 0.000, 0.500) x3
Zn (0.500, 0.500, 0.500) x1
Au (0.000, 0.000, 0.000) x1

=====

No. 20
Density functional theory data (PBE) for a relaxed TiBe3Tl crystal.

Summary:
E_form ... 1315.4 meV per atom
Crystal system ... cubic

Lattice parameters (Å, degrees): 4.430 4.430 4.430 90.00 90.00 90.00
Space group Pm-3m (No. 221)
Unique sites:
Ti (0.000, 0.000, 0.000) x1
Be (0.000, 0.500, 0.500) x3
Tl (0.500, 0.500, 0.500) x1